[1]
DFT (PBE-GGA) results for a relaxed Pb2OF2 crystal.

Cell and atoms, written as CIF:
```
data_Pb2OF2
_space_group_name_H-M_alt 'P 1'
_space_group_IT_number 1
_space_group_name_Hall 'P 1'
_cell_length_a 10.0221
_cell_length_b 6.4795
_cell_length_c 6.1913
_cell_angle_alpha 90.00
_cell_angle_beta 90.00
_cell_angle_gamma 90.00
loop_
_atom_site_label
_atom_site_fract_x
_atom_site_fract_y
_atom_site_fract_z
Pb1 0.1046 0.2226 0.0186
Pb2 0.1046 0.7774 0.5186
Pb3 0.3954 0.2774 0.5186
Pb4 0.3954 0.7226 0.0186
Pb5 0.6046 0.2774 0.9814
Pb6 0.6046 0.7226 0.4814
Pb7 0.8954 0.2226 0.4814
Pb8 0.8954 0.7774 0.9814
O1 0.0000 0.0211 0.7500
O2 0.0000 0.9789 0.2500
O3 0.5000 0.4789 0.2500
O4 0.5000 0.5211 0.7500
F1 0.1076 0.3662 0.4290
F2 0.1076 0.6338 0.9290
F3 0.3924 0.1338 0.9290
F4 0.3924 0.8662 0.4290
F5 0.6076 0.1338 0.5710
F6 0.6076 0.8662 0.0710
F7 0.8924 0.3662 0.0710
F8 0.8924 0.6338 0.5710
```

Results
* final energy: -5.072 eV/atom
* space group: Pbcn, No. 60

---

[2]
DFT (PBE-GGA) results for a relaxed Sr6P2SeN crystal.

Cell and atoms, written as CIF:
```
data_Sr6P2SeN
_space_group_name_H-M_alt 'P 1'
_space_group_IT_number 1
_space_group_name_Hall 'P 1'
_cell_length_a 7.1456
_cell_length_b 7.9495
_cell_length_c 12.6935
_cell_angle_alpha 90.00
_cell_angle_beta 123.90
_cell_angle_gamma 90.00
loop_
_atom_site_label
_atom_site_fract_x
_atom_site_fract_y
_atom_site_fract_z
Sr1 0.0917 0.2093 0.4295
Sr2 0.0917 0.2907 0.9295
Sr3 0.2247 0.6693 0.4295
Sr4 0.2247 0.8307 0.9295
Sr5 0.3686 0.0534 0.2293
Sr6 0.3686 0.4466 0.7293
Sr7 0.6314 0.5534 0.2707
Sr8 0.6314 0.9466 0.7707
Sr9 0.7753 0.1693 0.0705
Sr10 0.7753 0.3307 0.5705
Sr11 0.9083 0.7093 0.0705
Sr12 0.9083 0.7907 0.5705
P1 0.2055 0.0947 0.7469
P2 0.2055 0.4053 0.2469
P3 0.7945 0.5947 0.7531
P4 0.7945 0.9053 0.2531
Se1 0.5000 0.0000 0.5000
Se2 0.5000 0.5000 0.0000
N1 0.0000 0.0000 0.0000
N2 0.0000 0.5000 0.5000
```

Results
* final energy: -4.305 eV/atom
* space group: P2_1/c, No. 14

---

[3]
DFT (PBE-GGA) results for a relaxed Pr3Sm4Au4 crystal.

Cell and atoms, written as CIF:
```
data_Pr3Sm4Au4
_space_group_name_H-M_alt 'P 1'
_space_group_IT_number 1
_space_group_name_Hall 'P 1'
_cell_length_a 9.3328
_cell_length_b 9.3328
_cell_length_c 9.3328
_cell_angle_alpha 149.10
_cell_angle_beta 130.44
_cell_angle_gamma 59.55
loop_
_atom_site_label
_atom_site_fract_x
_atom_site_fract_y
_atom_site_fract_z
Pr1 0.0000 0.0000 0.0000
Pr2 0.3987 0.8987 0.5000
Pr3 0.6013 0.1013 0.5000
Sm1 0.0451 0.3278 0.7173
Sm2 0.3895 0.6722 0.7173
Sm3 0.6105 0.3278 0.2827
Sm4 0.9549 0.6722 0.2827
Au1 0.2031 0.2031 0.0000
Au2 0.3115 0.5000 0.8115
Au3 0.6885 0.5000 0.1885
Au4 0.7969 0.7969 0.0000
```

Results
* space group: Immm, No. 71
* energy relative to the elements: -0.532 eV/atom

---

[4]
DFT (PBE-GGA) results for a relaxed Tb6Si2PS3 crystal.

Cell and atoms, written as CIF:
```
data_Tb6Si2PS3
_space_group_name_H-M_alt 'P 1'
_space_group_IT_number 1
_space_group_name_Hall 'P 1'
_cell_length_a 9.0150
_cell_length_b 9.0150
_cell_length_c 8.0710
_cell_angle_alpha 102.86
_cell_angle_beta 102.86
_cell_angle_gamma 25.84
loop_
_atom_site_label
_atom_site_fract_x
_atom_site_fract_y
_atom_site_fract_z
Tb1 0.0018 0.0018 0.2453
Tb2 0.3336 0.3336 0.4177
Tb3 0.3350 0.3350 0.9148
Tb4 0.6650 0.6650 0.0852
Tb5 0.6664 0.6664 0.5823
Tb6 0.9982 0.9982 0.7547
Si1 0.1666 0.1666 0.3330
Si2 0.8334 0.8334 0.6670
P1 0.5000 0.5000 0.0000
S1 0.1654 0.1654 0.8344
S2 0.5000 0.5000 0.5000
S3 0.8346 0.8346 0.1656
```

Results
* final energy: -6.257 eV/atom
* space group: C2/m, No. 12